Record 1
AlCrFe2: optimized geometry, PBE.

a b c (Å): 2.782 2.782 5.817
angles (deg): 90.00 90.00 90.00
Fractional coordinates of all 4 atoms:
Al 0.000 0.000 0.000
Cr 0.000 0.000 0.500
Fe 0.500 0.500 0.257
Fe 0.500 0.500 0.743

Results
* space group: P4/mmm (123)
* energy relative to the lowest polymorph listed for this composition: 0.002 eV per atom

=====

Record 2
Al3CrFe4: optimized geometry, PBE.

a b c (Å): 2.835 2.835 11.509
angles (deg): 90.00 90.00 90.00
Fractional coordinates of all 8 atoms:
Al 0.000 0.000 0.000
Al 0.000 0.000 0.250
Al 0.000 0.000 0.750
Cr 0.000 0.000 0.500
Fe 0.500 0.500 0.125
Fe 0.500 0.500 0.382
Fe 0.500 0.500 0.618
Fe 0.500 0.500 0.875

Results
* space group: P4/mmm (123)

=====

Record 3
AlCrFe2: optimized geometry, PBE.

a b c (Å): 2.901 2.901 5.763
angles (deg): 90.00 90.00 90.00
Fractional coordinates of all 4 atoms:
Al 0.000 0.000 0.000
Cr 0.500 0.500 0.283
Fe 0.000 0.000 0.504
Fe 0.500 0.500 0.745

Results
* space group: P4mm (99)
* energy relative to the lowest polymorph listed for this composition: 0.101 eV per atom

=====

Record 4
AlCrFe3: optimized geometry, PBE.

a b c (Å): 6.400 6.400 4.628
angles (deg): 107.11 107.11 41.34
Fractional coordinates of all 10 atoms:
Al 0.179 0.179 0.442
Al 0.821 0.821 0.558
Cr 0.410 0.410 0.863
Cr 0.590 0.590 0.137
Fe 0.000 0.500 0.000
Fe 0.050 0.050 0.810
Fe 0.399 0.399 0.396
Fe 0.500 0.000 0.000
Fe 0.601 0.601 0.604
Fe 0.950 0.950 0.190

Results
* space group: C2/m (12)
* energy relative to the lowest polymorph listed for this composition: 0.000 eV per atom

=====

Record 5
AlCrFe2: optimized geometry, PBE.

a b c (Å): 4.090 4.090 4.090
angles (deg): 60.00 60.00 60.00
Fractional coordinates of all 4 atoms:
Al 0.000 0.000 0.000
Cr 0.250 0.250 0.250
Fe 0.500 0.500 0.500
Fe 0.750 0.750 0.750

Results
* space group: F-43m (216)
* energy relative to the lowest polymorph listed for this composition: 0.088 eV per atom

=====

Record 6
Al4CrFe7: optimized geometry, PBE.

a b c (Å): 4.066 4.066 10.156
angles (deg): 90.00 90.00 120.00
Fractional coordinates of all 12 atoms:
Al 0.333 0.667 0.162
Al 0.333 0.667 0.422
Al 0.667 0.333 0.578
Al 0.667 0.333 0.838
Cr 0.000 0.000 0.000
Fe 0.000 0.000 0.259
Fe 0.000 0.000 0.500
Fe 0.000 0.000 0.741
Fe 0.333 0.667 0.682
Fe 0.333 0.667 0.921
Fe 0.667 0.333 0.079
Fe 0.667 0.333 0.318

Results
* space group: P-3m1 (164)

=====

Record 7
Al2CrFe: optimized geometry, PBE.

a b c (Å): 2.994 2.994 5.767
angles (deg): 90.00 90.00 90.00
Fractional coordinates of all 4 atoms:
Al 0.000 0.000 0.235
Al 0.000 0.000 0.765
Cr 0.500 0.500 0.500
Fe 0.500 0.500 0.000

Results
* space group: P4/mmm (123)

=====

Record 8
Al2CrFe: optimized geometry, PBE.

a b c (Å): 4.907 4.907 4.907
angles (deg): 145.18 130.57 61.88
Fractional coordinates of all 4 atoms:
Al 0.000 0.000 0.000
Al 0.724 0.224 0.500
Cr 0.258 0.758 0.500
Fe 0.482 0.482 0.000

Results
* space group: Imm2 (44)

=====

Going through the records in order, we get energy relative to the elements values of -0.16; -0.25; -0.06; 0.00; -0.08; -0.20; -0.17; -0.14 eV/atom.
Going through the records in order, we get E_tot values of -7.74; -7.09; -7.64; -7.75; -7.65; -7.19; -6.56; -6.53 eV per atom.